(1)
16
Lattice="-3.044 -6.395 -5.402 8.184 -0.897 -3.550 -1.104 -0.713 8.810" Properties=species:S:1:pos:R:3 comment="PBE Ce3NdSm4Te8, optimized geometry" raw_formation_energy_mev_per_atom=-1389 pbc="T T T"
Ce 2.570 -3.646 -4.476
Ce 2.018 -4.002 -0.071
Ce 3.540 -0.805 2.630
Nd 4.092 -0.448 -1.775
Sm -1.522 -3.198 -2.701
Sm -2.074 -3.554 1.704
Sm 0.000 0.000 0.000
Sm -0.552 -0.356 4.405
Te 5.401 -2.286 -4.015
Te 4.848 -2.643 0.397
Te 0.709 -2.166 2.165
Te 3.882 -5.479 -6.711
Te 0.155 -2.526 6.569
Te 3.328 -5.838 -2.307
Te -0.812 -5.361 -0.539
Te -1.364 -5.718 3.873

=====

(2)
12
Lattice="3.818 0.000 0.000 0.000 6.136 0.000 0.000 0.000 18.648" Properties=species:S:1:pos:R:3 comment="PBE SbSI, optimized geometry" raw_formation_energy_mev_per_atom=-185 pbc="T T T"
Sb 0.955 1.736 6.501
Sb 2.864 4.804 2.823
Sb 2.864 4.400 12.147
Sb 0.955 1.332 15.825
S 0.955 4.798 1.202
S 2.864 1.337 17.447
S 0.955 4.405 10.526
S 2.864 1.730 8.123
I 2.864 1.766 3.374
I 0.955 4.370 15.274
I 0.955 4.833 5.950
I 2.864 1.302 12.699

=====

(3)
16
Lattice="8.441 -0.076 -0.043 -2.536 8.051 -0.043 -2.490 -3.363 10.615" Properties=species:S:1:pos:R:3 comment="PBE KDyAgI5, optimized geometry" raw_formation_energy_mev_per_atom=-1108 pbc="T T T"
K 0.818 4.266 2.611
K 2.596 0.346 7.918
Dy -1.245 -1.681 5.307
Dy 0.000 0.000 0.000
Ag 4.414 1.604 2.611
Ag -0.999 3.008 7.918
I -2.235 6.526 2.611
I 5.649 -1.914 7.918
I 6.746 2.158 1.107
I -3.332 2.455 9.421
I 4.565 -0.788 4.114
I -1.150 5.401 6.414
I 3.698 3.460 4.693
I -0.283 1.152 5.836
I 2.430 1.747 0.528
I 0.985 2.865 10.000

=====

(4)
10
Lattice="-2.002 -3.157 4.603 0.045 -4.847 -3.416 4.007 -0.803 1.192" Properties=species:S:1:pos:R:3 comment="PBE CaPrSb2O6, optimized geometry" raw_formation_energy_mev_per_atom=-1924 polymorph_energy_ev_per_atom=0.161 pbc="T T T"
Ca 1.025 -4.404 1.190
Pr 2.003 -0.402 0.596
Sb 0.022 -2.424 -1.708
Sb -1.001 -1.579 2.302
O 2.026 -2.825 -1.112
O 1.002 -1.980 2.898
O -1.316 -5.382 0.798
O -0.641 -2.622 0.389
O -0.286 -4.574 -2.119
O -1.671 -3.430 3.306

=====

(5)
5
Lattice="3.408 0.000 0.000 1.704 5.365 -0.218 1.704 0.803 6.077" Properties=species:S:1:pos:R:3 comment="PBE Mg4Hg, optimized geometry" formation_enthalpy_0k_ev_per_atom=-0.09 polymorph_energy_ev_per_atom=0.009 pbc="T T T"
Mg 3.408 3.866 0.561
Mg 3.408 5.240 4.046
Mg 3.408 0.927 1.813
Mg 3.408 2.302 5.298
Hg 1.704 3.084 2.930

=====

(6)
4
Lattice="-0.478 -3.758 2.922 4.760 -0.407 0.253 0.035 2.061 2.656" Properties=species:S:1:pos:R:3 comment="PBE CrSe3, optimized geometry" raw_formation_energy_mev_per_atom=360 pbc="T T T"
Cr 0.000 0.000 0.000
Se 2.398 0.827 1.455
Se -0.222 -0.848 2.789
Se 2.141 -2.083 1.588

=====

Calculated total energy, respectively: -88.80, -41.42, -50.33, -64.01, -7.12, -18.64 eV for the cell shown.